# Hf3BeFe2

A relaxed Hf3BeFe2 crystal (GGA-PBE, the Alexandria database).

abc: 3.1426 3.1426 9.3353
angles: 90.00 90.00 90.00
Each line ends with the local moment (μB).
Sites, in units of the cell vectors:
Hf 0.0000 0.0000 0.0000  -0.07
Hf 0.0000 0.0000 0.6660  -0.04
Hf 0.0000 0.0000 0.3340  -0.04
Be 0.5000 0.5000 0.5000  0.00
Fe 0.5000 0.5000 0.8314  0.20
Fe 0.5000 0.5000 0.1686  0.20

Values from the calculation:
Total DFT energy (no corrections) = -8.6719 eV/atom
Total magnetization = 0.19 μB/f.u.
Crystal system = tetragonal
Energy of formation from the pure elements = -147 kJ/mol of formula units